(1)
## K2AcRh2O7 (PBE)

Data for an optimized crystal structure of K2AcRh2O7.

The space group is I4/mmm (No. 139) and the conventional cell measures 4.030, 4.030 and 21.496 Å, with angles of 90.00, 90.00 and 90.00 degrees. The distinct sites, in fractional coordinates, are K at (0.000, 0.000, 0.187), Ac at (0.000, 0.000, 0.000), Rh at (0.000, 0.000, 0.402), O at (0.000, 0.000, 0.315), O at (0.000, 0.000, 0.500) and O at (0.000, 0.500, 0.082).

The calculation puts the magnetization at 2.8 μB per formula unit. The calculated volume comes out at 14.55 Å³/atom. The calculation puts the uncorrected formation energy at -1.4759 eV per atom.

(2)
## TcTeIr2 (PBE)

Data for an optimized crystal structure of TcTeIr2.

The space group is Immm (No. 71) and the conventional cell measures 3.997, 4.010 and 8.057 Å, with angles of 90.00, 90.00 and 90.00 degrees. The distinct sites, in fractional coordinates, are Tc at (0.000, 0.000, 0.000), Te at (0.000, 0.000, 0.500) and Ir at (0.000, 0.500, 0.250).

The calculation puts the magnetization at 0.0 μB per formula unit. The calculated volume comes out at 16.14 Å³/atom. The calculation puts the uncorrected formation energy at 0.4023 eV per atom.

(3)
## YZnPtAu (PBE)

Data for an optimized crystal structure of YZnPtAu.

The space group is Cm (No. 8) and the conventional cell measures 7.808, 4.494 and 5.217 Å, with angles of 90.00, 119.77 and 90.00 degrees. The distinct sites, in fractional coordinates, are Y at (0.000, 0.000, 0.000), Zn at (0.022, 0.500, 0.567), Pt at (0.218, 0.000, 0.654) and Au at (0.280, 0.500, 0.339).

The calculation puts the magnetization at 0.0 μB per formula unit. The calculated volume comes out at 19.86 Å³/atom. Its energy is -5.044 eV per atom.

(4)
## Li2Pu3P2H4 (PBE)

Data for an optimized crystal structure of Li2Pu3P2H4.

The space group is I4/mmm (No. 139) and the conventional cell measures 3.873, 3.873 and 20.669 Å, with angles of 90.00, 90.00 and 90.00 degrees. The distinct sites, in fractional coordinates, are Li at (0.000, 0.000, 0.081), Pu at (0.000, 0.000, 0.328), Pu at (0.000, 0.000, 0.500), P at (0.000, 0.000, 0.196) and H at (0.000, 0.500, 0.069).

The calculation puts the magnetization at 15.7 μB per formula unit. The calculated volume comes out at 14.10 Å³/atom. Its energy is -7.005 eV per atom.

(5)
## Mg2Ga2Hg3 (PBE)

Data for an optimized crystal structure of Mg2Ga2Hg3.

The space group is P2/m (No. 10) and the conventional cell measures 3.495, 3.811 and 11.565 Å, with angles of 90.00, 97.89 and 90.00 degrees. The distinct sites, in fractional coordinates, are Mg at (0.068, 0.000, 0.144), Ga at (0.206, 0.000, 0.412), Hg at (0.360, 0.500, 0.713) and Hg at (0.500, 0.500, 0.000).

The calculation puts the magnetization at 0.0 μB per formula unit. The calculated volume comes out at 21.79 Å³/atom. Its energy is -1.527 eV per atom.

(6)
## Pm2NpSiO8 (PBE)

Data for an optimized crystal structure of Pm2NpSiO8.

The space group is P-3m1 (No. 164) and the conventional cell measures 5.2932, 5.2932 and 5.9957 Å, with angles of 90.00, 90.00 and 120.00 degrees. The distinct sites, in fractional coordinates, are Pm at (0.3333, 0.6667, 0.3695), Np at (0.0000, 0.0000, 0.0000), Si at (0.0000, 0.0000, 0.5000), O at (0.1532, 0.3064, 0.6809) and O at (0.3333, 0.6667, 0.0228).

The calculation puts the magnetization at 3.2 μB per formula unit. The calculated volume comes out at 12.12 Å³/atom. The calculation puts the uncorrected formation energy at -2.3860 eV per atom.

(7)
## Sc2TlPb (PBE)

Data for an optimized crystal structure of Sc2TlPb.

The space group is R-3m (No. 166, hexagonal axes) and the conventional cell measures 3.5206, 3.5206 and 28.1634 Å, with angles of 90.00, 90.00 and 120.00 degrees. The distinct sites, in fractional coordinates, are Sc at (0.0000, 0.0000, 0.2489), Tl at (0.0000, 0.0000, 0.5000) and Pb at (0.0000, 0.0000, 0.0000).

The calculation puts the magnetization at 0.0 μB per formula unit. The calculated volume comes out at 25.19 Å³/atom. The value obtained for the offset from the most stable computed form is 0.0941 eV/atom.

(8)
## PrAl3Au3 (PBE)

Data for an optimized crystal structure of PrAl3Au3.

The space group is Pm-3n (No. 223) and the conventional cell measures 6.951, 6.951 and 6.951 Å, with angles of 90.00, 90.00 and 90.00 degrees. The distinct sites, in fractional coordinates, are Pr at (0.000, 0.000, 0.000), Al at (0.000, 0.250, 0.500) and Au at (0.000, 0.500, 0.250).

The calculation puts the magnetization at 0.0 μB per formula unit. The calculated volume comes out at 23.99 Å³/atom. The value obtained for the offset from the most stable computed form is 0.2212 eV/atom.

Mass density
In order: 5.9; 15.7; 11.4; 8.7; 8.6; 7.8; 8.3; 8.0
Unit: g cm⁻³